1.
Below is GaBi3Mo after structural relaxation, with properties calculated at the PBE-GGA level.

a b c (Å): 5.4174 5.4174 5.4174
angles (deg): 90.00 90.00 90.00
Last column: nearest neighbours and their distance in Å.
Space group Pm-3m (No. 221)
Symmetry-distinct sites (fractional):
1 Ga 0.0000 0.0000 0.0000 x1  6 Bi 2.71
2 Bi 0.0000 0.0000 0.5000 x3  2 Ga 2.71
3 Mo 0.5000 0.5000 0.5000 x1  12 Bi 3.83

crystal system: cubic
energy of formation from the pure elements: 1.196 eV/atom

=====

2.
Below is Sr2YP after structural relaxation, with properties calculated at the PBE-GGA level.

a b c (Å): 4.2322 4.2322 6.9002
angles (deg): 90.00 90.00 90.00
Last column: nearest neighbours and their distance in Å.
Space group P4/mmm (No. 123)
Symmetry-distinct sites (fractional):
1 Sr 0.0000 0.0000 0.2158 x2  1 Sr 2.98
2 Y 0.5000 0.5000 0.5000 x1  2 P 3.45, 8 Sr 3.58
3 P 0.5000 0.5000 0.0000 x1  8 Sr 3.34, 2 Y 3.45

crystal system: tetragonal
energy of formation from the pure elements: -0.260 eV/atom

=====

3.
Below is Ca2NdY4 after structural relaxation, with properties calculated at the PBE-GGA level.

a b c (Å): 3.6672 37.5285 3.6200
angles (deg): 90.00 90.00 90.00
Last column: nearest neighbours and their distance in Å.
Space group Cmmm (No. 65)
Symmetry-distinct sites (fractional):
1 Ca 0.0000 0.2057 0.0000 x4  6 Ca 3.62-3.80, 4 Y 3.76
2 Nd 0.0000 0.5000 0.5000 x2  4 Nd 3.62-3.67, 8 Y 3.64
3 Y 0.0000 0.0685 0.0000 x4  8 Y 3.53-3.67, 4 Nd 3.64
4 Y 0.0000 0.3671 0.5000 x4  8 Y 3.53-3.67, 4 Ca 3.76

crystal system: orthorhombic
energy of formation from the pure elements: 0.068 eV/atom

=====

4.
Below is NdSiAg after structural relaxation, with properties calculated at the PBE-GGA level.

a b c (Å): 4.0917 4.1621 8.0928
angles (deg): 90.00 90.00 90.00
Last column: nearest neighbours and their distance in Å.
Space group Pmma (No. 51)
Symmetry-distinct sites (fractional):
1 Nd 0.2500 0.0000 0.2112 x2  6 Si 3.11-3.12, 4 Ag 3.27
2 Si 0.2500 0.5000 0.9232 x2  2 Si 2.39, 1 Ag 2.55
3 Ag 0.2500 0.5000 0.6075 x2  1 Si 2.55, 2 Ag 2.69

crystal system: orthorhombic
energy relative to the elements, uncorrected: -0.47 eV per atom

=====

5.
Below is ZnAuCl2 after structural relaxation, with properties calculated at the PBE-GGA level.

a b c (Å): 3.0582 3.0582 10.5020
angles (deg): 90.00 90.00 90.00
Last column: nearest neighbours and their distance in Å.
Space group P4/mmm (No. 123)
Symmetry-distinct sites (fractional):
1 Zn 0.0000 0.0000 0.0000 x1  8 Cl 2.65
2 Au 0.0000 0.0000 0.5000 x1  4 Au 3.06
3 Cl 0.5000 0.5000 0.1451 x2  4 Zn 2.65

crystal system: tetragonal
energy relative to the elements, uncorrected: -0.11 eV per atom

=====

6.
Below is Pm7Pr12Tl after structural relaxation, with properties calculated at the PBE-GGA level.

a b c (Å): 12.4932 12.4932 15.6467
angles (deg): 90.00 90.00 120.00
Last column: nearest neighbours and their distance in Å.
Space group R-3 (No. 148, hexagonal axes)
Symmetry-distinct sites (fractional):
1 Pm 0.0000 0.0000 0.0000 x3  6 Pr 3.32
2 Pm 0.0533 0.8697 0.3012 x18  3 Pm 3.53-3.54, 7 Pr 3.63-3.92, 1 Tl 3.72
3 Pr 0.0314 0.5837 0.2081 x18  5 Pr 3.36-3.65, 1 Tl 3.44, 2 Pm 3.63-3.74
4 Pr 0.0568 0.4706 0.5864 x18  4 Pr 3.30-3.65, 2 Pm 3.32-3.65
5 Tl 0.0000 0.0000 0.5000 x3  6 Pr 3.44, 6 Pm 3.72

crystal system: trigonal
energy of formation from the pure elements: 0.136 eV/atom

=====

| no. | calculated density (g/cm3) |
| --- | --- |
| 1 | 8.28 |
| 2 | 3.97 |
| 3 | 3.87 |
| 4 | 6.75 |
| 5 | 5.63 |
| 6 | 6.85 |